[1]
DFT (GGA-PBE) results for RbSnAuSe3 after structural relaxation.

a b c (Å): 9.1554 4.1682 10.1970
angles (deg): 90.00 110.63 90.00
Closest atoms and distances in Å follow each position.
Space group P2_1/m (No. 11)
Inequivalent atoms, fractional coordinates:
Rb 0.2434 0.2500 0.2069 [2 per cell]  6 Se 3.50-3.88, 2 Au 3.56
Sn 0.1749 0.7500 0.6459 [2 per cell]  6 Se 2.65-2.89
Au 0.4935 0.7500 0.0965 [2 per cell]  2 Se 2.48-2.50
Se 0.0475 0.7500 0.3662 [2 per cell]  3 Sn 2.67-2.89
Se 0.2259 0.7500 0.9184 [2 per cell]  1 Au 2.48, 1 Sn 2.65
Se 0.3759 0.2500 0.6427 [2 per cell]  1 Au 2.50, 2 Sn 2.79

Values from the calculation:
* relative energy among the computed polymorphs: 0.000 eV/atom
* E_tot: -21.7 eV/f.u.


[2]
DFT (GGA-PBE) results for RbSnAu3Se4 after structural relaxation.

a b c (Å): 6.2608 7.9104 10.8965
angles (deg): 90.00 100.23 90.00
Closest atoms and distances in Å follow each position.
Space group P2_1/m (No. 11)
Inequivalent atoms, fractional coordinates:
Rb 0.2240 0.2500 0.3579 [2 per cell]  1 Au 3.61, 5 Se 3.63-3.84
Sn 0.0997 0.2500 0.7714 [2 per cell]  4 Se 2.55-2.65
Au 0.3562 0.5589 0.0815 [4 per cell]  2 Se 2.49-2.52
Au 0.4890 0.7500 0.3244 [2 per cell]  3 Se 2.51-2.79
Se 0.0354 0.7500 0.0115 [2 per cell]  2 Au 2.52, 1 Sn 2.65
Se 0.1685 0.7500 0.4338 [2 per cell]  1 Au 2.51, 1 Sn 2.55
Se 0.3217 0.5336 0.7645 [4 per cell]  2 Au 2.49-2.79, 1 Sn 2.65

Values from the calculation:
* relative energy among the computed polymorphs: 0.000 eV/atom
* E_tot: -31.6 eV/f.u.


V (computed, A^3/atom): 30.35; 29.50